Computed, not measured: a relaxed structure of DyP2O6 at the PBE-GGA level of DFT.

## Properties
ΔE_f (raw): -2.36 eV per atom

Cell lengths 10.216, 9.329, 5.971 Å; angles 90.00, 111.37, 90.00 degrees
Space group C2/c (No. 15)
Symmetry-distinct sites (fractional):
Dy 0.000 0.122 0.250 [4 per cell]
P 0.201 0.435 0.252 [8 per cell]
O 0.133 0.055 0.638 [8 per cell]
O 0.151 0.492 0.484 [8 per cell]
O 0.152 0.278 0.218 [8 per cell]